No. 1
Computed, not measured: crystalline BiI2BrN at its relaxed geometry at the PBE level of DFT.

Values from the calculation:
Space group ... P4/mmm (123)
Formation energy from raw total energies ... 1.1238 eV/atom
Distance to the lowest polymorph of the same formula ... 1.650 eV/f.u.

Cell: 6.505 6.505 3.757 Å, 90.00 90.00 90.00°
Atoms (fractional coordinates):
Bi (0.500, 0.500, 0.500)
Br (0.000, 0.000, 0.000)
I (0.000, 0.500, 0.000)
I (0.500, 0.000, 0.000)
N (0.000, 0.000, 0.500)


No. 2
Computed, not measured: crystalline BiIBrN2 at its relaxed geometry at the PBE level of DFT.

Values from the calculation:
Space group ... P4/mmm (123)
Formation energy from raw total energies ... 2.0326 eV/atom
Distance to the lowest polymorph of the same formula ... 2.776 eV/f.u.

Cell: 4.499 4.499 7.726 Å, 90.00 90.00 90.00°
Atoms (fractional coordinates):
N (0.500, 0.000, 0.000)
N (0.000, 0.500, 0.000)
Bi (0.500, 0.500, 0.500)
Br (0.000, 0.000, 0.000)
I (0.000, 0.000, 0.500)


No. 3
Computed, not measured: crystalline NbBiI2Br at its relaxed geometry at the PBE level of DFT.

Values from the calculation:
Space group ... P4/mmm (123)
Formation energy from raw total energies ... 0.9724 eV/atom

Cell: 6.641 4.837 6.641 Å, 90.00 90.00 90.00°
Atoms (fractional coordinates):
Bi (0.500, 0.500, 0.500)
I (0.500, 0.000, 0.000)
I (0.000, 0.000, 0.500)
Nb (0.000, 0.500, 0.000)
Br (0.000, 0.000, 0.000)


No. 4
Computed, not measured: crystalline BiI2BrO at its relaxed geometry at the PBE level of DFT.

Values from the calculation:
Space group ... P4/mmm (123)
Formation energy from raw total energies ... -0.0552 eV/atom
Distance to the lowest polymorph of the same formula ... 0.000 eV/f.u.

Cell: 6.298 6.298 4.271 Å, 90.00 90.00 90.00°
Atoms (fractional coordinates):
Br (0.500, 0.500, 0.500)
Bi (0.000, 0.000, 0.000)
I (0.000, 0.500, 0.000)
I (0.500, 0.000, 0.000)
O (0.000, 0.000, 0.500)